## SrLi2Ca (GGA-PBE)

Data for a relaxed structure of SrLi2Ca.

abc: 5.7816 5.7816 4.1354
angles: 90.00 90.00 90.00
With the nearest neighbours (Å) after each atom.
Fractional coordinates of all 4 atoms:
Sr1 0.0000 0.0000 0.0000  8 Li 3.55
Li1 0.0000 0.5000 0.5000  4 Ca 3.55, 4 Sr 3.55
Li2 0.5000 0.0000 0.5000  4 Ca 3.55, 4 Sr 3.55
Ca1 0.5000 0.5000 0.0000  8 Li 3.55

- N(E_F) (states/eV per cell) = 3.47
- symmetry = No. 123
- ΔE to the lowest computed polymorph (meV per atom) = 10
- volume (A^3/atom) = 34.56

---

## AlGe2Rh2 (GGA-PBE)

Data for a relaxed structure of AlGe2Rh2.

abc: 6.7826 6.7826 3.4072
angles: 90.00 90.00 90.00
With the nearest neighbours (Å) after each atom.
Fractional coordinates of all 10 atoms:
Al1 0.0000 0.0000 0.0000  4 Rh 2.57
Al2 0.5000 0.5000 0.0000  4 Rh 2.57
Ge1 0.1491 0.3509 0.5000  6 Rh 2.55-2.66
Ge2 0.3509 0.8509 0.5000  6 Rh 2.55-2.66
Ge3 0.6491 0.1491 0.5000  6 Rh 2.55-2.66
Ge4 0.8509 0.6491 0.5000  6 Rh 2.55-2.66
Rh1 0.1527 0.6527 0.0000  6 Ge 2.55-2.66, 2 Al 2.57
Rh2 0.3473 0.1527 0.0000  6 Ge 2.55-2.66, 2 Al 2.57
Rh3 0.6527 0.8473 0.0000  6 Ge 2.55-2.66, 2 Al 2.57
Rh4 0.8473 0.3473 0.0000  6 Ge 2.55-2.66, 2 Al 2.57

- N(E_F) (states/eV per cell) = 4.35
- symmetry = No. 127
- calculated total energy (eV per formula unit) = -29.35
- volume (A^3/atom) = 15.67

---

## TcPtNO2 (GGA-PBE)

Data for a relaxed structure of TcPtNO2.

abc: 4.1559 4.1559 3.7403
angles: 90.00 90.00 90.00
With the nearest neighbours (Å) after each atom.
Fractional coordinates of all 5 atoms:
Tc1 0.0000 0.0000 0.0000  8 O 2.80, 4 N 2.94
Pt1 0.5000 0.5000 0.5000  2 N 1.87, 4 O 2.08
N1 0.5000 0.5000 0.0000  2 Pt 1.87
O1 0.0000 0.5000 0.5000  2 Pt 2.08
O2 0.5000 0.0000 0.5000  2 Pt 2.08

- N(E_F) (states/eV per cell) = 3.22
- symmetry = No. 123
- formation energy without anion corrections (eV per atom) = 0.903
- volume (A^3/atom) = 12.92